Entry from Alexandria: an optimized crystal structure of NaLiSm2Te4 (PBE-GGA).

```
NaLiSm2Te4
1.0
7.7363 0.0000 0.0000
0.0000 4.4683 0.0000
-2.5831 0.0000 7.3223
Na Li Sm Te
1 1 2 4
Cartesian
0.0000 0.0000 0.0000
3.8682 2.2341 0.0000
-1.2916 2.2341 3.6611
2.5766 0.0000 3.6611
0.0272 0.0000 5.4863
1.3167 2.2341 1.8614
3.8365 2.2341 5.4609
5.1260 0.0000 1.8360
```

E   -4.459 eV/atom
Formation energy without anion corrections   -1.304 eV per atom
Calculated density   5.5 g/cm3